1.
A relaxed structure of MgAs2Os, computed with PBE-GGA.

Properties
calculated volume	74.3	Å³/f.u.
space-group type	Cmm2 (35)
formation enthalpy at 0 K	1.051	eV/f.u.
mass density	8.1	g cm⁻³
total magnetization	0.0	μB/f.u.
raw total energy	-5.268	eV per atom

a b c (Å): 2.8937 2.8937 9.8950
angles (deg): 90.00 90.00 116.22
Element x y z (fractional)
As (0.0000, 0.0000, 0.9457)
As (0.5000, 0.5000, 0.2859)
Os (0.5000, 0.5000, 0.7479)
Mg (0.0000, 0.0000, 0.5205)

2.
A relaxed structure of MgAs2Os, computed with PBE-GGA.

Properties
calculated volume	69.3	Å³/f.u.
space-group type	Pmm2 (25)
formation enthalpy at 0 K	0.481	eV/f.u.
mass density	8.7	g cm⁻³
total magnetization	0.0	μB/f.u.
raw total energy	-5.411	eV per atom

a b c (Å): 3.0281 3.7834 6.0496
angles (deg): 90.00 90.00 90.00
Element x y z (fractional)
Mg (0.0000, 0.0000, 0.4879)
As (0.5000, 0.5000, 0.3146)
As (0.0000, 0.0000, 0.9296)
Os (0.5000, 0.5000, 0.7679)

3.
A relaxed structure of Mg3AsOs, computed with PBE-GGA.

Properties
calculated volume	113.8	Å³/f.u.
space-group type	Pm-3m (221)
formation enthalpy at 0 K	4.171	eV/f.u.
mass density	4.9	g cm⁻³
total magnetization	1.1	μB/f.u.
raw total energy	-3.298	eV per atom

a b c (Å): 4.8462 4.8462 4.8462
angles (deg): 90.00 90.00 90.00
Element x y z (fractional)
Os (0.5000, 0.5000, 0.5000)
Mg (0.5000, 0.0000, 0.0000)
Mg (0.0000, 0.5000, 0.0000)
Mg (0.0000, 0.0000, 0.5000)
As (0.0000, 0.0000, 0.0000)

4.
A relaxed structure of MgAs2Os, computed with PBE-GGA.

Properties
calculated volume	65.5	Å³/f.u.
space-group type	F-43m (216)
formation enthalpy at 0 K	1.889	eV/f.u.
mass density	9.2	g cm⁻³
total magnetization	0.0	μB/f.u.
raw total energy	-5.059	eV per atom

a b c (Å): 4.5236 4.5236 4.5236
angles (deg): 60.00 60.00 60.00
Element x y z (fractional)
As (0.2500, 0.2500, 0.2500)
As (0.0000, 0.0000, 0.0000)
Mg (0.5000, 0.5000, 0.5000)
Os (0.7500, 0.7500, 0.7500)

5.
A relaxed structure of MgAs2Os, computed with PBE-GGA.

Properties
calculated volume	65.6	Å³/f.u.
space-group type	I-4m2 (119)
formation enthalpy at 0 K	1.244	eV/f.u.
mass density	9.2	g cm⁻³
total magnetization	0.0	μB/f.u.
raw total energy	-5.220	eV per atom

a b c (Å): 5.1197 5.1197 5.1197
angles (deg): 135.23 135.23 65.17
Element x y z (fractional)
As (0.2500, 0.7500, 0.5000)
As (0.0000, 0.0000, 0.0000)
Mg (0.5000, 0.5000, 0.0000)
Os (0.7500, 0.2500, 0.5000)

6.
A relaxed structure of Mg4AsOs, computed with PBE-GGA.

Properties
calculated volume	109.1	Å³/f.u.
space-group type	F-43m (216)
formation enthalpy at 0 K	2.792	eV/f.u.
mass density	5.5	g cm⁻³
total magnetization	0.0	μB/f.u.
raw total energy	-3.244	eV per atom

a b c (Å): 5.3634 5.3634 5.3634
angles (deg): 60.00 60.00 60.00
Element x y z (fractional)
Mg (0.8723, 0.3759, 0.3759)
Mg (0.3759, 0.3759, 0.3759)
Mg (0.3759, 0.3759, 0.8723)
Mg (0.3759, 0.8723, 0.3759)
As (0.0000, 0.0000, 0.0000)
Os (0.7500, 0.7500, 0.7500)

7.
A relaxed structure of MgAsOs3, computed with PBE-GGA.

Properties
calculated volume	91.2	Å³/f.u.
space-group type	Pm-3m (221)
formation enthalpy at 0 K	12.029	eV/f.u.
mass density	12.2	g cm⁻³
total magnetization	0.7	μB/f.u.
raw total energy	-5.581	eV per atom

a b c (Å): 4.5009 4.5009 4.5009
angles (deg): 90.00 90.00 90.00
Element x y z (fractional)
As (0.5000, 0.5000, 0.5000)
Mg (0.0000, 0.0000, 0.0000)
Os (0.0000, 0.5000, 0.0000)
Os (0.0000, 0.0000, 0.5000)
Os (0.5000, 0.0000, 0.0000)

8.
A relaxed structure of MgAs2Os, computed with PBE-GGA.

Properties
calculated volume	72.6	Å³/f.u.
space-group type	C2/m (12)
formation enthalpy at 0 K	0.067	eV/f.u.
mass density	8.3	g cm⁻³
total magnetization	0.0	μB/f.u.
raw total energy	-5.514	eV per atom

a b c (Å): 3.9931 3.9931 6.4202
angles (deg): 76.94 76.94 47.05
Element x y z (fractional)
Os (0.2500, 0.2500, 0.2500)
Mg (0.7500, 0.7500, 0.7500)
As (0.9965, 0.9965, 0.0392)
As (0.5035, 0.5035, 0.4608)

9.
A relaxed structure of MgAs2Os, computed with PBE-GGA.

Properties
calculated volume	72.3	Å³/f.u.
space-group type	Imm2 (44)
formation enthalpy at 0 K	0.047	eV/f.u.
mass density	8.4	g cm⁻³
total magnetization	0.0	μB/f.u.
raw total energy	-5.519	eV per atom

a b c (Å): 6.8710 6.8710 6.8710
angles (deg): 154.40 148.89 40.71
Element x y z (fractional)
Mg (0.4451, 0.4451, 0.0000)
Os (0.2113, 0.7113, 0.5000)
As (0.7870, 0.2870, 0.5000)
As (0.0566, 0.0566, 0.0000)

10.
A relaxed structure of MgAs2Os, computed with PBE-GGA.

Properties
calculated volume	70.8	Å³/f.u.
space-group type	P2/m (10)
formation enthalpy at 0 K	0.462	eV/f.u.
mass density	8.6	g cm⁻³
total magnetization	0.0	μB/f.u.
raw total energy	-5.415	eV per atom

a b c (Å): 4.2102 3.3355 5.0516
angles (deg): 85.80 90.00 90.00
Element x y z (fractional)
Os (0.5000, 0.7500, 0.7500)
Mg (0.5000, 0.2500, 0.2500)
As (0.0000, 0.8256, 0.0078)
As (0.0000, 0.6744, 0.4922)

11.
A relaxed structure of MgAs2Os, computed with PBE-GGA.

Properties
calculated volume	80.3	Å³/f.u.
space-group type	Immm (71)
formation enthalpy at 0 K	0.095	eV/f.u.
mass density	7.5	g cm⁻³
total magnetization	0.0	μB/f.u.
raw total energy	-5.507	eV per atom

a b c (Å): 6.3485 6.3485 6.3485
angles (deg): 152.26 137.37 51.63
Element x y z (fractional)
Os (0.2500, 0.7500, 0.5000)
As (0.4225, 0.4225, 0.0000)
As (0.0775, 0.0775, 0.0000)
Mg (0.7500, 0.2500, 0.5000)

12.
A relaxed structure of MgAs2Os, computed with PBE-GGA.

Properties
calculated volume	64.3	Å³/f.u.
space-group type	Fm-3m (225)
formation enthalpy at 0 K	0.286	eV/f.u.
mass density	9.4	g cm⁻³
total magnetization	0.0	μB/f.u.
raw total energy	-5.459	eV per atom

a b c (Å): 4.4973 4.4973 4.4973
angles (deg): 60.00 60.00 60.00
Element x y z (fractional)
Mg (0.0000, 0.0000, 0.0000)
Os (0.5000, 0.5000, 0.5000)
As (0.7500, 0.7500, 0.7500)
As (0.2500, 0.2500, 0.2500)